Material: Pm2Pr3Er3
Method: DFT, PBE-GGA
State: optimized geometry

Results
For the total magnetization, the calculation gives 0.000 μB/atom. The calculation puts the energy above the most stable polymorph in this dataset at 0.00 eV/f.u. Its formation energy from the elements is 0.020 eV/atom. For the density of states at the Fermi level, the calculation gives 1.5386 states/eV per atom.

Lattice parameters (Å, degrees): 10.870 10.870 10.870 152.90 152.66 38.87
Fractional coordinates of all 8 atoms:
Pm1 0.249 0.249 0.000
Pm2 0.751 0.751 0.000
Pr1 0.000 0.000 0.000
Pr2 0.376 0.876 0.500
Pr3 0.624 0.124 0.500
Er1 0.125 0.625 0.500
Er2 0.500 0.500 0.000
Er3 0.875 0.375 0.500

Material: LiAs3P
Method: DFT, PBE-GGA
State: optimized geometry

Results
For the total magnetization, the calculation gives 0.000 μB/atom. The calculation puts the energy above the most stable polymorph in this dataset at 1.56 eV/f.u. Its formation energy from the elements is 0.771 eV/atom. For the density of states at the Fermi level, the calculation gives 0.6126 states/eV per atom.

Lattice parameters (Å, degrees): 4.533 4.533 4.533 90.00 90.00 90.00
Fractional coordinates of all 5 atoms:
Li1 0.000 0.000 0.000
As1 0.000 0.000 0.500
As2 0.000 0.500 0.000
As3 0.500 0.000 0.000
P1 0.500 0.500 0.500

Material: AcTh2Pt
Method: DFT, PBE-GGA
State: optimized geometry

Results
For the total magnetization, the calculation gives 0.000 μB/atom. The calculation puts the energy above the most stable polymorph in this dataset at 0.91 eV/f.u. Its formation energy from the elements is -0.220 eV/atom. For the density of states at the Fermi level, the calculation gives 1.6680 states/eV per atom.

Lattice parameters (Å, degrees): 11.063 11.063 11.063 20.29 20.29 20.29
Fractional coordinates of all 4 atoms:
Ac1 0.000 0.000 0.000
Th1 0.111 0.111 0.111
Th2 0.889 0.889 0.889
Pt1 0.500 0.500 0.500

Material: ZrAl2Cu2
Method: DFT, PBE-GGA
State: optimized geometry

Results
For the total magnetization, the calculation gives 0.000 μB/atom. The calculation puts the energy above the most stable polymorph in this dataset at 1.04 eV/f.u. Its formation energy from the elements is -0.118 eV/atom. For the density of states at the Fermi level, the calculation gives 0.3921 states/eV per atom.

Lattice parameters (Å, degrees): 4.350 4.350 5.148 90.00 90.00 120.00
Fractional coordinates of all 5 atoms:
Zr1 0.000 0.000 0.000
Al1 0.333 0.667 0.336
Al2 0.667 0.333 0.664
Cu1 0.333 0.667 0.809
Cu2 0.667 0.333 0.191

Material: Sr2HgPtN
Method: DFT, PBE-GGA
State: optimized geometry

Results
The raw formation energy is -0.24 eV/atom. For the total magnetization, the calculation gives 0.000 μB/atom. The calculation puts the energy above the most stable polymorph in this dataset at 1.67 eV/f.u. For the density of states at the Fermi level, the calculation gives 0.9785 states/eV per atom.

Lattice parameters (Å, degrees): 6.102 6.102 3.800 90.00 90.00 90.00
Fractional coordinates of all 5 atoms:
Sr1 0.000 0.500 0.000
Sr2 0.500 0.000 0.000
Hg1 0.000 0.000 0.500
Pt1 0.500 0.500 0.000
N1 0.500 0.500 0.500

Material: ScIrOs2
Method: DFT, PBE-GGA
State: optimized geometry

Results
For the total magnetization, the calculation gives 0.000 μB/atom. The calculation puts the energy above the most stable polymorph in this dataset at 2.17 eV/f.u. Its formation energy from the elements is 0.364 eV/atom. For the density of states at the Fermi level, the calculation gives 1.2848 states/eV per atom.

Lattice parameters (Å, degrees): 10.045 10.045 10.045 158.50 158.50 30.59
Fractional coordinates of all 8 atoms:
Sc1 0.000 0.000 0.000
Sc2 0.750 0.250 0.500
Ir1 0.250 0.750 0.500
Ir2 0.500 0.500 0.000
Os1 0.155 0.625 0.030
Os2 0.375 0.405 0.530
Os3 0.595 0.125 0.970
Os4 0.875 0.845 0.470

Material: LiDy2BePd6
Method: DFT, PBE-GGA
State: optimized geometry

Results
For the total magnetization, the calculation gives 0.000 μB/atom. Its formation energy from the elements is -0.626 eV/atom. For the density of states at the Fermi level, the calculation gives 0.2085 states/eV per atom.

Lattice parameters (Å, degrees): 5.897 5.915 6.565 63.58 63.63 60.24
Fractional coordinates of all 10 atoms:
Li1 0.000 0.000 0.000
Dy1 0.262 0.262 0.212
Dy2 0.738 0.738 0.788
Be1 0.500 0.500 0.500
Pd1 0.236 0.744 0.277
Pd2 0.256 0.766 0.722
Pd3 0.257 0.256 0.722
Pd4 0.743 0.744 0.278
Pd5 0.744 0.234 0.278
Pd6 0.764 0.256 0.723

Material: KPrBi2
Method: DFT, PBE-GGA
State: optimized geometry

Results
For the total magnetization, the calculation gives 0.000 μB/atom. The calculation puts the energy above the most stable polymorph in this dataset at 0.70 eV/f.u. Its formation energy from the elements is -0.393 eV/atom. For the density of states at the Fermi level, the calculation gives 1.0753 states/eV per atom.

Lattice parameters (Å, degrees): 9.314 9.314 9.314 28.59 28.59 28.59
Fractional coordinates of all 4 atoms:
K1 0.000 0.000 0.000
Pr1 0.830 0.830 0.830
Bi1 0.235 0.235 0.235
Bi2 0.427 0.427 0.427

Material: MnHg2Se
Method: DFT, PBE-GGA
State: optimized geometry

Results
The raw formation energy is 0.26 eV/atom. For the total magnetization, the calculation gives 1.155 μB/atom. For the density of states at the Fermi level, the calculation gives 0.4700 states/eV per atom.

Lattice parameters (Å, degrees): 5.183 5.183 5.183 125.66 125.66 80.44
Fractional coordinates of all 4 atoms:
Mn1 0.000 0.000 0.000
Hg1 0.500 0.500 0.000
Hg2 0.750 0.250 0.500
Se1 0.250 0.750 0.500

Material: Er2ThOF10
Method: DFT, PBE-GGA
State: optimized geometry

Results
The raw formation energy is -3.61 eV/atom. For the total magnetization, the calculation gives 0.143 μB/atom. For the density of states at the Fermi level, the calculation gives 0.4754 states/eV per atom.

Lattice parameters (Å, degrees): 8.399 8.399 8.399 121.84 121.84 86.84
Fractional coordinates of all 28 atoms:
Er1 0.241 0.241 0.482
Er2 0.241 0.759 0.000
Er3 0.759 0.241 0.000
Er4 0.759 0.759 0.518
Th1 0.241 0.241 0.000
Th2 0.759 0.759 0.000
O1 0.250 0.750 0.500
O2 0.750 0.250 0.500
F1 0.105 0.327 0.222
F2 0.105 0.883 0.778
F3 0.117 0.895 0.222
F4 0.170 0.170 0.665
F5 0.170 0.506 0.000
F6 0.187 0.500 0.687
F7 0.327 0.105 0.222
F8 0.494 0.494 0.665
F9 0.494 0.830 0.000
F10 0.500 0.187 0.687
F11 0.500 0.813 0.313
F12 0.506 0.170 0.000
F13 0.506 0.506 0.335
F14 0.673 0.895 0.778
F15 0.813 0.500 0.313
F16 0.830 0.494 0.000
F17 0.830 0.830 0.335
F18 0.883 0.105 0.778
F19 0.895 0.117 0.222
F20 0.895 0.673 0.778

Material: In2Sb
Method: DFT, PBE-GGA
State: optimized geometry

Results
The raw formation energy is 0.06 eV/atom. For the total magnetization, the calculation gives 0.000 μB/atom. For the density of states at the Fermi level, the calculation gives 0.3737 states/eV per atom.

Lattice parameters (Å, degrees): 6.187 6.187 6.187 105.09 105.09 118.65
Fractional coordinates of all 6 atoms:
In1 0.148 0.648 0.795
In2 0.352 0.148 0.500
In3 0.648 0.852 0.500
In4 0.852 0.352 0.205
Sb1 0.250 0.250 0.000
Sb2 0.750 0.750 0.000

Material: ReSe2BrN
Method: DFT, PBE-GGA
State: optimized geometry

Results
The raw formation energy is 2.17 eV/atom. For the total magnetization, the calculation gives 0.683 μB/atom. The calculation puts the energy above the most stable polymorph in this dataset at 8.76 eV/f.u. For the density of states at the Fermi level, the calculation gives 0.5700 states/eV per atom.

Lattice parameters (Å, degrees): 5.235 5.235 3.612 90.00 90.00 90.00
Fractional coordinates of all 5 atoms:
Re1 0.000 0.000 0.000
Se1 0.000 0.500 0.500
Se2 0.500 0.000 0.500
Br1 0.500 0.500 0.500
N1 0.500 0.500 0.000

Repeat the fifth record exactly.
Material: Sr2HgPtN
Method: DFT, PBE-GGA
State: optimized geometry

Results
The raw formation energy is -0.24 eV/atom. For the total magnetization, the calculation gives 0.000 μB/atom. The calculation puts the energy above the most stable polymorph in this dataset at 1.67 eV/f.u. For the density of states at the Fermi level, the calculation gives 0.9785 states/eV per atom.

Lattice parameters (Å, degrees): 6.102 6.102 3.800 90.00 90.00 90.00
Fractional coordinates of all 5 atoms:
Sr1 0.000 0.500 0.000
Sr2 0.500 0.000 0.000
Hg1 0.000 0.000 0.500
Pt1 0.500 0.500 0.000
N1 0.500 0.500 0.500

Copy entry 7 word for word.
Material: LiDy2BePd6
Method: DFT, PBE-GGA
State: optimized geometry

Results
For the total magnetization, the calculation gives 0.000 μB/atom. Its formation energy from the elements is -0.626 eV/atom. For the density of states at the Fermi level, the calculation gives 0.2085 states/eV per atom.

Lattice parameters (Å, degrees): 5.897 5.915 6.565 63.58 63.63 60.24
Fractional coordinates of all 10 atoms:
Li1 0.000 0.000 0.000
Dy1 0.262 0.262 0.212
Dy2 0.738 0.738 0.788
Be1 0.500 0.500 0.500
Pd1 0.236 0.744 0.277
Pd2 0.256 0.766 0.722
Pd3 0.257 0.256 0.722
Pd4 0.743 0.744 0.278
Pd5 0.744 0.234 0.278
Pd6 0.764 0.256 0.723

Question: Which value of total magnetization does entry 5 give?
Answer: 0.000 μB/atom